The following is a DFT calculation (PBE with a Hubbard U) of an optimized crystal structure of ZrCoO2.

Computed properties:
ΔE to the lowest computed polymorph = 604.7 meV/atom
Final energy = -28.38 eV per cell
Space group = No. 225
D(E_F) = 4.51 states/eV/cell

Unit cell a=3.8672 b=3.8672 c=3.8672 alpha=60.00 beta=60.00 gamma=60.00
Closest atoms and distances in Å follow each position.
Fractional positions:
Zr: 0.0000 0.0000 0.0000  8 O 2.37
Co: 0.5000 0.5000 0.5000  8 O 2.37
O: 0.2500 0.2500 0.2500  4 Co 2.37, 4 Zr 2.37
O: 0.7500 0.7500 0.7500  4 Zr 2.37, 4 Co 2.37